1.
{
  "formula": "LiGdEr",
  "functional": "PBE",
  "state": "optimized geometry",
  "polymorph_energy_mev_per_atom": 33.5,
  "dos_at_fermi_per_ev_atom": 1.254,
  "density_g_cm3": 6.359,
  "cell": [[3.4645, 0.0000, 0.0000], [-1.7323, 3.0004, 0.0000], [0.0000, 0.0000, 8.3270]],
  "species": ["Li", "Gd", "Er"],
  "frac_coords": [[0.0000, 0.0000, 0.0000], [0.6667, 0.3333, 0.3352], [0.3333, 0.6667, 0.6730]]
}

---

2.
{
  "formula": "LiGdEr2",
  "functional": "PBE",
  "state": "optimized geometry",
  "polymorph_energy_mev_per_atom": 86.1,
  "dos_at_fermi_per_ev_atom": 1.417,
  "density_g_cm3": 7.223,
  "cell": [[5.5571, 0.0000, 0.0000], [0.0000, 5.5571, 0.0000], [0.0000, 0.0000, 3.7127]],
  "species": ["Li", "Gd", "Er", "Er"],
  "frac_coords": [[0.0000, 0.0000, 0.0000], [0.5000, 0.5000, 0.0000], [0.0000, 0.5000, 0.5000], [0.5000, 0.0000, 0.5000]]
}

---

3.
{
  "formula": "LiGdEr",
  "functional": "PBE",
  "state": "optimized geometry",
  "polymorph_energy_mev_per_atom": 0.0,
  "dos_at_fermi_per_ev_atom": 1.235,
  "density_g_cm3": 6.637,
  "cell": [[-1.8259, 1.8259, 6.2188], [1.8259, -1.8259, 6.2188], [1.8259, 1.8259, -6.2188]],
  "species": ["Li", "Gd", "Er"],
  "frac_coords": [[0.0000, 0.0000, 0.0000], [0.6598, 0.6598, 0.0000], [0.3490, 0.3490, 0.0000]]
}

---

4.
{
  "formula": "LiGdEr2",
  "functional": "PBE",
  "state": "optimized geometry",
  "polymorph_energy_mev_per_atom": 0.0,
  "dos_at_fermi_per_ev_atom": 1.406,
  "density_g_cm3": 7.334,
  "cell": [[3.5827, 0.0000, 0.0000], [0.0000, 3.5827, 0.0000], [0.0000, 0.0000, 8.7969]],
  "species": ["Li", "Gd", "Er", "Er"],
  "frac_coords": [[0.0000, 0.0000, 0.0000], [0.0000, 0.0000, 0.5000], [0.5000, 0.5000, 0.2198], [0.5000, 0.5000, 0.7802]]
}

---

no.,raw total energy (eV per cell)
1,-20.2
2,-24.4
3,-20.3
4,-24.8